1.
Entry from Alexandria: a relaxed structure of PrTaGe2 (PBE).

a b c (Å): 3.9857 3.9857 6.9360
angles (deg): 73.30 73.30 60.00
Closest atoms and distances in Å follow each position.
Positions (direct):
Pr  0.5000  0.5000  0.5000  6 Ge 2.99
Ge  0.2640  0.2640  0.2081  3 Ta 2.67, 3 Pr 2.99
Ge  0.7360  0.7360  0.7919  3 Ta 2.67, 3 Pr 2.99
Ta  0.0000  0.0000  0.0000  6 Ge 2.67

Computed properties:
**VASP energy**: -27.5 eV per cell
**Magnetic moment**: 0.00 μB per formula unit
**Energy of formation from the pure elements**: -0.403 eV per atom

***

2.
Entry from Alexandria: a relaxed structure of TbSc4Al2 (PBE).

a b c (Å): 5.0071 5.0071 7.8686
angles (deg): 71.45 71.45 60.00
Closest atoms and distances in Å follow each position.
Positions (direct):
Sc  0.8461  0.8461  0.4618  1 Al 2.81, 3 Sc 2.94
Sc  0.1539  0.1539  0.5382  1 Al 2.81, 3 Sc 2.94
Sc  0.5762  0.5762  0.2715  4 Al 3.02-3.12, 4 Sc 3.21-3.34
Sc  0.4238  0.4238  0.7285  4 Al 3.02-3.12, 4 Sc 3.21-3.34
Tb  0.0000  0.0000  0.0000  6 Al 3.10, 2 Sc 3.38
Al  0.7181  0.7181  0.8457  5 Sc 2.81-3.12, 3 Tb 3.10
Al  0.2819  0.2819  0.1543  5 Sc 2.81-3.12, 3 Tb 3.10

Computed properties:
**VASP energy**: -39.3 eV per cell
**Magnetic moment**: 0.00 μB per formula unit
**Energy of formation from the pure elements**: -0.259 eV per atom

***

3.
Entry from Alexandria: a relaxed structure of AlZn2Cd (PBE).

a b c (Å): 4.6911 4.6911 5.7218
angles (deg): 76.87 76.87 35.91
Closest atoms and distances in Å follow each position.
Positions (direct):
Zn  0.0049  0.0049  0.9690  3 Al 2.67-2.85, 2 Cd 2.85, 4 Zn 2.89-2.91
Zn  0.4951  0.4951  0.5310  3 Al 2.67-2.85, 2 Cd 2.85, 4 Zn 2.89-2.91
Al  0.7500  0.7500  0.7500  6 Zn 2.67-2.85, 2 Al 2.89
Cd  0.2500  0.2500  0.2500  6 Zn 2.85-3.01, 2 Cd 2.89

Computed properties:
**VASP energy**: -6.9 eV per cell
**Magnetic moment**: 0.00 μB per formula unit
**Energy of formation from the pure elements**: 0.075 eV per atom